Crystalline SbSe2Cl at its relaxed geometry, computed with PBE-GGA.

Lattice parameters (Å, degrees): 7.5210 5.2690 13.2566 90.00 102.49 90.00
Element x y z (fractional)
1 Sb 0.1856 0.1032 0.3855
2 Sb 0.1856 0.3968 0.8855
3 Sb 0.8144 0.6032 0.1145
4 Sb 0.8144 0.8968 0.6145
5 Se 0.0851 0.6628 0.5507
6 Se 0.0851 0.8372 0.0507
7 Se 0.4714 0.2190 0.0249
8 Se 0.4714 0.2810 0.5249
9 Se 0.5286 0.7190 0.4751
10 Se 0.5286 0.7810 0.9751
11 Se 0.9149 0.1628 0.9493
12 Se 0.9149 0.3372 0.4493
13 Cl 0.2072 0.0511 0.7584
14 Cl 0.2072 0.4489 0.2584
15 Cl 0.7928 0.5511 0.7416
16 Cl 0.7928 0.9489 0.2416

Calculated values
**Energy relative to the lowest polymorph listed for this composition**: 5 meV/atom
**Energy**: -3.54 eV per atom
**DOS at the Fermi energy**: 0.015 states/eV/atom
**Raw formation energy**: -1.22 eV/f.u.